VASP calculation (PBE with a Hubbard U) on an optimized crystal structure of RbAlCoO3.

Unit cell a=5.5254 b=10.2386 c=5.4231 alpha=90.00 beta=90.00 gamma=90.00
Last column: nearest neighbours and their distance in Å.
Space group Cmcm (No. 63)
Asymmetric unit:
Rb 0.0000 0.2435 0.2500  4 O 2.72-2.76
Al 0.0000 0.4400 0.7500  5 O 1.77-1.95
Co 0.0000 0.0742 0.7500  5 O 1.98-2.17
O 0.0000 0.2673 0.7500  1 Al 1.77, 1 Co 1.98
O 0.2267 0.5000 0.0000  2 Al 1.95, 2 Co 2.17

Output
Raw total energy, eV/atom: -5.98
Calculated density, g/cm³: 4.7